This record from Alexandria describes a relaxed ZrCdPt crystal. The functional is GGA-PBEsol.

- DFT formation energy (meV per atom) = 96
- calculated density (g cm⁻³) = 10.6

abc: 4.4548 4.4548 4.4548
angles: 60.00 60.00 60.00
Last column: nearest neighbours and their distance in Å.
Element x y z (fractional)
Pt1 0.0000 0.0000 0.0000  4 Cd 2.73
Zr1 0.5000 0.5000 0.5000  4 Cd 2.73
Cd1 0.7500 0.7500 0.7500  4 Zr 2.73, 4 Pt 2.73